The following is a DFT calculation (PBE) of crystalline La5Pm2Th3 at its relaxed geometry.

Results
- formation energy from the elements (eV per formula unit) = 0.50
- total magnetic moment (μB per cell) = 0.0

Cell: 6.355 6.355 11.562 Å, 90.24 90.24 47.77°
Atoms (fractional coordinates):
1 La 0.000 0.000 0.000
2 La 0.200 0.200 0.404
3 La 0.304 0.304 0.108
4 La 0.696 0.696 0.892
5 La 0.800 0.800 0.596
6 Pm 0.401 0.401 0.790
7 Pm 0.599 0.599 0.210
8 Th 0.096 0.096 0.695
9 Th 0.500 0.500 0.500
10 Th 0.904 0.904 0.305

***

The following is a DFT calculation (PBE) of crystalline SiTc2Ru at its relaxed geometry.

Results
- total magnetic moment (μB per cell) = 0.0
- energy relative to the elements, uncorrected (eV per atom) = -0.135

Cell: 4.847 4.847 4.847 Å, 135.36 135.36 64.97°
Atoms (fractional coordinates):
1 Si 0.000 0.000 0.000
2 Tc 0.250 0.750 0.500
3 Tc 0.750 0.250 0.500
4 Ru 0.500 0.500 0.000

***

The following is a DFT calculation (PBE) of crystalline AcSmPb2 at its relaxed geometry.

Results
- formation energy from the elements (eV per formula unit) = -1.81
- total magnetic moment (μB per cell) = 0.0

Cell: 5.296 5.296 4.657 Å, 90.00 90.00 90.00°
Atoms (fractional coordinates):
1 Ac 0.000 0.000 0.000
2 Sm 0.500 0.500 0.000
3 Pb 0.000 0.500 0.500
4 Pb 0.500 0.000 0.500